## P
First-principles (PBE) data for crystalline BeFeSiMo at its relaxed geometry, as listed in OQMD.

a = 4.0340 Å, b = 4.0340 Å, c = 4.0340 Å
α = 60.00°, β = 60.00°, γ = 60.00°
Closest atoms and distances in Å follow each position.
Sites, in units of the cell vectors:
Be 0.0000 0.0000 0.0000  4 Mo 2.47, 4 Si 2.47
Fe 0.5000 0.5000 0.5000  4 Mo 2.47, 4 Si 2.47
Si 0.2500 0.2500 0.2500  4 Fe 2.47, 4 Be 2.47
Mo 0.7500 0.7500 0.7500  4 Fe 2.47, 4 Be 2.47

Crystal system   cubic
Space group   No. 216


## Q
First-principles (PBE) data for crystalline BeFeSiMo at its relaxed geometry, as listed in OQMD.

a = 4.0503 Å, b = 4.0503 Å, c = 4.0503 Å
α = 60.00°, β = 60.00°, γ = 60.00°
Closest atoms and distances in Å follow each position.
Sites, in units of the cell vectors:
Be 0.0000 0.0000 0.0000  4 Fe 2.48, 4 Mo 2.48
Fe 0.7500 0.7500 0.7500  4 Si 2.48, 4 Be 2.48
Si 0.5000 0.5000 0.5000  4 Mo 2.48, 4 Fe 2.48
Mo 0.2500 0.2500 0.2500  4 Be 2.48, 4 Si 2.48

Crystal system   cubic
Space group   No. 216


Which structure wins on stability? Q wins.


## P
First-principles (PBE) data for crystalline BeZnFeMo at its relaxed geometry, as listed in OQMD.

a = 4.1337 Å, b = 4.1337 Å, c = 4.1337 Å
α = 60.00°, β = 60.00°, γ = 60.00°
Closest atoms and distances in Å follow each position.
Sites, in units of the cell vectors:
Be 0.0000 0.0000 0.0000  4 Fe 2.53, 4 Mo 2.53
Zn 0.5000 0.5000 0.5000  4 Mo 2.53, 4 Fe 2.53
Fe 0.7500 0.7500 0.7500  4 Be 2.53, 4 Zn 2.53
Mo 0.2500 0.2500 0.2500  4 Be 2.53, 4 Zn 2.53

Crystal system   cubic
Space group   No. 216


## Q
First-principles (PBE) data for crystalline BeZnFeMo at its relaxed geometry, as listed in OQMD.

a = 4.0639 Å, b = 4.0639 Å, c = 4.0639 Å
α = 60.00°, β = 60.00°, γ = 60.00°
Closest atoms and distances in Å follow each position.
Sites, in units of the cell vectors:
Be 0.0000 0.0000 0.0000  4 Zn 2.49, 4 Mo 2.49
Zn 0.7500 0.7500 0.7500  4 Fe 2.49, 4 Be 2.49
Fe 0.5000 0.5000 0.5000  4 Zn 2.49, 4 Mo 2.49
Mo 0.2500 0.2500 0.2500  4 Fe 2.49, 4 Be 2.49

Crystal system   cubic
Space group   No. 216


Which structure wins on stability? Q wins.


## P
First-principles (PBE) data for crystalline NaBeFeTc at its relaxed geometry, as listed in OQMD.

a = 4.1183 Å, b = 4.1183 Å, c = 4.1183 Å
α = 60.00°, β = 60.00°, γ = 60.00°
Closest atoms and distances in Å follow each position.
Sites, in units of the cell vectors:
Na 0.0000 0.0000 0.0000  4 Be 2.52, 4 Tc 2.52
Be 0.7500 0.7500 0.7500  4 Fe 2.52, 4 Na 2.52
Fe 0.5000 0.5000 0.5000  4 Be 2.52, 4 Tc 2.52
Tc 0.2500 0.2500 0.2500  4 Fe 2.52, 4 Na 2.52

Crystal system   cubic
Space group   No. 216


## Q
First-principles (PBE) data for crystalline NaBeFeTc at its relaxed geometry, as listed in OQMD.

a = 4.1511 Å, b = 4.1511 Å, c = 4.1511 Å
α = 60.00°, β = 60.00°, γ = 60.00°
Closest atoms and distances in Å follow each position.
Sites, in units of the cell vectors:
Na 0.0000 0.0000 0.0000  4 Fe 2.54, 4 Be 2.54
Be 0.2500 0.2500 0.2500  4 Tc 2.54, 4 Na 2.54
Fe 0.7500 0.7500 0.7500  4 Tc 2.54, 4 Na 2.54
Tc 0.5000 0.5000 0.5000  4 Fe 2.54, 4 Be 2.54

Crystal system   cubic
Space group   No. 216


Which structure wins on stability? P wins.


## P
First-principles (PBE) data for crystalline BeNbFe at its relaxed geometry, as listed in OQMD.

a = 3.9258 Å, b = 3.9258 Å, c = 3.9258 Å
α = 60.00°, β = 60.00°, γ = 60.00°
Closest atoms and distances in Å follow each position.
Sites, in units of the cell vectors:
Be 0.0000 0.0000 0.0000  4 Fe 2.40
Nb 0.5000 0.5000 0.5000  4 Fe 2.40
Fe 0.2500 0.2500 0.2500  4 Nb 2.40, 4 Be 2.40

Crystal system   cubic
Space group   No. 216


## Q
First-principles (PBE) data for crystalline BeNbFe at its relaxed geometry, as listed in OQMD.

a = 4.6672 Å, b = 4.6672 Å, c = 4.6672 Å
α = 119.66°, β = 118.95°, γ = 91.21°
Closest atoms and distances in Å follow each position.
Sites, in units of the cell vectors:
Be 0.5000 0.0000 0.0000  4 Fe 2.33, 2 Be 2.35
Be 0.5000 0.5000 0.5000  4 Fe 2.33, 2 Be 2.35
Nb 0.1254 0.3754 0.7500  6 Be 2.71-2.77, 6 Fe 2.72-2.75, 4 Nb 2.86-2.88
Nb 0.8746 0.6246 0.2500  6 Be 2.71-2.77, 6 Fe 2.72-2.75, 4 Nb 2.86-2.88
Fe 0.0000 0.0000 0.0000  4 Be 2.33, 2 Fe 2.37
Fe 0.5000 0.0000 0.5000  4 Be 2.33, 2 Fe 2.37

Crystal system   orthorhombic
Space group   No. 74


Which structure wins on stability? Q wins.


## P
First-principles (PBE) data for crystalline NdBeFe at its relaxed geometry, as listed in OQMD.

a = 4.2602 Å, b = 4.2602 Å, c = 4.2602 Å
α = 60.00°, β = 60.00°, γ = 60.00°
Closest atoms and distances in Å follow each position.
Sites, in units of the cell vectors:
Nd 0.0000 0.0000 0.0000  4 Be 2.61
Be 0.7500 0.7500 0.7500  4 Fe 2.61, 4 Nd 2.61
Fe 0.5000 0.5000 0.5000  4 Be 2.61

Crystal system   cubic
Space group   No. 216


## Q
First-principles (PBE) data for crystalline NdBeFe at its relaxed geometry, as listed in OQMD.

a = 4.3074 Å, b = 4.3074 Å, c = 4.3074 Å
α = 60.00°, β = 60.00°, γ = 60.00°
Closest atoms and distances in Å follow each position.
Sites, in units of the cell vectors:
Nd 0.0000 0.0000 0.0000  4 Fe 2.64
Be 0.5000 0.5000 0.5000  4 Fe 2.64
Fe 0.7500 0.7500 0.7500  4 Be 2.64, 4 Nd 2.64

Crystal system   cubic
Space group   No. 216


Which structure wins on stability? P wins.


## P
First-principles (PBE) data for crystalline BeFeNiPb at its relaxed geometry, as listed in OQMD.

a = 4.2379 Å, b = 4.2379 Å, c = 4.2379 Å
α = 60.00°, β = 60.00°, γ = 60.00°
Closest atoms and distances in Å follow each position.
Sites, in units of the cell vectors:
Be 0.0000 0.0000 0.0000  4 Fe 2.60, 4 Ni 2.60
Fe 0.7500 0.7500 0.7500  4 Be 2.60, 4 Pb 2.60
Ni 0.2500 0.2500 0.2500  4 Pb 2.60, 4 Be 2.60
Pb 0.5000 0.5000 0.5000  4 Fe 2.60, 4 Ni 2.60

Crystal system   cubic
Space group   No. 216


## Q
First-principles (PBE) data for crystalline BeFeNiPb at its relaxed geometry, as listed in OQMD.

a = 4.2816 Å, b = 4.2816 Å, c = 4.2816 Å
α = 60.00°, β = 60.00°, γ = 60.00°
Closest atoms and distances in Å follow each position.
Sites, in units of the cell vectors:
Be 0.0000 0.0000 0.0000  4 Fe 2.62, 4 Pb 2.62
Fe 0.7500 0.7500 0.7500  4 Ni 2.62, 4 Be 2.62
Ni 0.5000 0.5000 0.5000  4 Pb 2.62, 4 Fe 2.62
Pb 0.2500 0.2500 0.2500  4 Be 2.62, 4 Ni 2.62

Crystal system   cubic
Space group   No. 216


Which structure wins on stability? P wins.


## P
First-principles (PBE) data for crystalline BeFeNiSn at its relaxed geometry, as listed in OQMD.

a = 4.1284 Å, b = 4.1284 Å, c = 4.1284 Å
α = 60.00°, β = 60.00°, γ = 60.00°
Closest atoms and distances in Å follow each position.
Sites, in units of the cell vectors:
Be 0.0000 0.0000 0.0000  4 Fe 2.53, 4 Ni 2.53
Fe 0.7500 0.7500 0.7500  4 Sn 2.53, 4 Be 2.53
Ni 0.2500 0.2500 0.2500  4 Sn 2.53, 4 Be 2.53
Sn 0.5000 0.5000 0.5000  4 Fe 2.53, 4 Ni 2.53

Crystal system   cubic
Space group   No. 216


## Q
First-principles (PBE) data for crystalline BeFeNiSn at its relaxed geometry, as listed in OQMD.

a = 4.1827 Å, b = 4.1827 Å, c = 4.1827 Å
α = 60.00°, β = 60.00°, γ = 60.00°
Closest atoms and distances in Å follow each position.
Sites, in units of the cell vectors:
Be 0.0000 0.0000 0.0000  4 Fe 2.56, 4 Sn 2.56
Fe 0.7500 0.7500 0.7500  4 Be 2.56, 4 Ni 2.56
Ni 0.5000 0.5000 0.5000  4 Fe 2.56, 4 Sn 2.56
Sn 0.2500 0.2500 0.2500  4 Be 2.56, 4 Ni 2.56

Crystal system   cubic
Space group   No. 216


Which structure wins on stability? P wins.


## P
First-principles (PBE) data for crystalline BeTlFeNi at its relaxed geometry, as listed in OQMD.

a = 4.2432 Å, b = 4.2432 Å, c = 4.2432 Å
α = 60.00°, β = 60.00°, γ = 60.00°
Closest atoms and distances in Å follow each position.
Sites, in units of the cell vectors:
Be 0.0000 0.0000 0.0000  4 Fe 2.60, 4 Ni 2.60
Tl 0.5000 0.5000 0.5000  4 Fe 2.60, 4 Ni 2.60
Fe 0.7500 0.7500 0.7500  4 Be 2.60, 4 Tl 2.60
Ni 0.2500 0.2500 0.2500  4 Tl 2.60, 4 Be 2.60

Crystal system   cubic
Space group   No. 216


## Q
First-principles (PBE) data for crystalline BeTlFeNi at its relaxed geometry, as listed in OQMD.

a = 4.2380 Å, b = 4.2380 Å, c = 4.2380 Å
α = 60.00°, β = 60.00°, γ = 60.00°
Closest atoms and distances in Å follow each position.
Sites, in units of the cell vectors:
Be 0.0000 0.0000 0.0000  4 Tl 2.60, 4 Fe 2.60
Tl 0.2500 0.2500 0.2500  4 Be 2.60, 4 Ni 2.60
Fe 0.7500 0.7500 0.7500  4 Be 2.60, 4 Ni 2.60
Ni 0.5000 0.5000 0.5000  4 Tl 2.60, 4 Fe 2.60

Crystal system   cubic
Space group   No. 216


Which structure wins on stability? Q wins.